{"formula": "La2PtCl", "functional": "meta-GGA SCAN", "state": "PBEsol geometry", "lattice_angstrom": [[4.1340, 0.0000, 0.0000], [0.0000, 4.1340, 0.0000], [0.0000, 0.0000, 6.0224]], "species": ["La", "La", "Pt", "Cl"], "frac_coords": [[0.5000, 0.5000, 0.0000], [0.0000, 0.0000, 0.5000], [0.0000, 0.0000, 0.0000], [0.5000, 0.5000, 0.5000]], "spacegroup": "P4/mmm, No. 123", "dos_ef_per_ev_fu": 3.292, "e_form_raw_ev_per_atom": -1.64, "crystal_system": "tetragonal"}

{"formula": "LaPtCl2", "functional": "meta-GGA SCAN", "state": "PBEsol geometry", "lattice_angstrom": [[4.4539, -0.0134, 0.0000], [-0.1744, 4.4505, 0.0000], [0.0000, 0.0000, 4.6469]], "species": ["Cl", "Cl", "Pt", "La"], "frac_coords": [[0.7467, 0.2533, 0.0000], [0.2533, 0.7467, 0.0000], [0.0000, 0.0000, 0.5000], [0.5000, 0.5000, 0.5000]], "spacegroup": "Cmmm, No. 65", "dos_ef_per_ev_fu": 0.243, "e_form_raw_ev_per_atom": -1.15, "crystal_system": "orthorhombic"}

{"formula": "LaPt2Cl", "functional": "meta-GGA SCAN", "state": "PBEsol geometry", "lattice_angstrom": [[3.8636, 0.0036, 0.0000], [-0.0067, 3.8636, 0.0000], [-1.9284, -1.9336, 5.4992]], "species": ["Cl", "Pt", "Pt", "La"], "frac_coords": [[0.5000, 0.5000, 0.0000], [0.5000, 0.0000, 0.5000], [0.0000, 0.5000, 0.5000], [0.0000, 0.0000, 0.0000]], "spacegroup": "Fmmm, No. 69", "dos_ef_per_ev_fu": 1.888, "e_form_raw_ev_per_atom": -0.85, "crystal_system": "orthorhombic"}

{"formula": "La2ReCl", "functional": "meta-GGA SCAN", "state": "PBEsol geometry", "lattice_angstrom": [[-1.6099, 1.3729, -2.7006], [0.0270, -3.0638, -1.5737], [-6.9487, -1.9004, 3.5805]], "species": ["Re", "Cl", "La", "La"], "frac_coords": [[0.5000, 0.5000, 0.0000], [0.5000, 0.5000, 0.5000], [0.0382, 0.0000, 0.7802], [0.9618, 0.0000, 0.2198]], "spacegroup": "P2/m, No. 10", "dos_ef_per_ev_fu": 1.528, "e_form_raw_ev_per_atom": -0.79, "crystal_system": "monoclinic"}

{"formula": "LaReCl", "functional": "meta-GGA SCAN", "state": "PBEsol geometry", "lattice_angstrom": [[3.0444, 0.0534, 0.0000], [-0.0567, 3.0444, 0.0000], [-1.4939, -1.5489, 7.2201]], "species": ["Re", "Cl", "La"], "frac_coords": [[0.6847, 0.6847, 0.3693], [0.9762, 0.9762, 0.9524], [0.3391, 0.3391, 0.6783]], "spacegroup": "I4mm, No. 107", "dos_ef_per_ev_fu": 2.552, "e_form_raw_ev_per_atom": 0.27, "crystal_system": "tetragonal"}

{"formula": "LaRe2Cl", "functional": "meta-GGA SCAN", "state": "PBEsol geometry", "lattice_angstrom": [[-2.1937, 1.8046, 2.4892], [-0.6600, -2.8124, 4.3227], [2.7404, 1.6064, 4.1159]], "species": ["Re", "Re", "Cl", "La"], "frac_coords": [[0.0592, 0.9408, 0.9408], [0.7442, 0.7558, 0.7558], [0.4596, 0.5404, 0.5404], [0.2370, 0.2630, 0.2630]], "spacegroup": "Imm2, No. 44", "dos_ef_per_ev_fu": 1.497, "e_form_raw_ev_per_atom": 0.24, "crystal_system": "orthorhombic"}

{"formula": "La2ReCl", "functional": "meta-GGA SCAN", "state": "PBEsol geometry", "lattice_angstrom": [[3.5544, 0.0000, 0.0000], [-1.7772, 3.8387, 0.0304], [0.0000, -2.0306, 7.7914]], "species": ["Re", "Cl", "La", "La"], "frac_coords": [[0.0000, 0.0000, 0.5000], [0.5000, 0.0000, 0.0000], [0.7664, 0.5327, 0.7116], [0.2336, 0.4673, 0.2884]], "spacegroup": "C2/m, No. 12", "dos_ef_per_ev_fu": 2.706, "e_form_raw_ev_per_atom": -0.65, "crystal_system": "monoclinic"}

{"formula": "La2ReCl", "functional": "meta-GGA SCAN", "state": "PBEsol geometry", "lattice_angstrom": [[-2.1416, -2.3023, -1.2377], [3.9987, -2.7781, -1.7514], [0.1757, -2.5746, 4.4850]], "species": ["Re", "Cl", "La", "La"], "frac_coords": [[0.5000, 0.5000, 0.5000], [0.5000, 0.0000, 0.0000], [0.0000, 0.0000, 0.5000], [0.0000, 0.5000, 0.0000]], "spacegroup": "P4/mmm, No. 123", "dos_ef_per_ev_fu": 2.005, "e_form_raw_ev_per_atom": -0.48, "crystal_system": "tetragonal"}

{"formula": "La2ReCl", "functional": "meta-GGA SCAN", "state": "PBEsol geometry", "lattice_angstrom": [[3.6565, 0.0000, 0.0000], [0.0000, 4.6613, 0.0000], [0.0000, 0.0000, 5.7251]], "species": ["Re", "Cl", "La", "La"], "frac_coords": [[0.0000, 0.0000, 0.3449], [0.5000, 0.5000, 0.8755], [0.0000, 0.0000, 0.9020], [0.5000, 0.5000, 0.3775]], "spacegroup": "Pmm2, No. 25", "dos_ef_per_ev_fu": 2.173, "e_form_raw_ev_per_atom": -0.69, "crystal_system": "orthorhombic"}

{"formula": "La3RhCl", "functional": "meta-GGA SCAN", "state": "PBEsol geometry", "lattice_angstrom": [[5.2480, 0.0000, 0.0000], [0.0000, 5.2480, 0.0000], [0.0000, 0.0000, 5.2480]], "species": ["Cl", "Rh", "La", "La", "La"], "frac_coords": [[0.0000, 0.0000, 0.0000], [0.5000, 0.5000, 0.5000], [0.0000, 0.5000, 0.0000], [0.0000, 0.0000, 0.5000], [0.5000, 0.0000, 0.0000]], "spacegroup": "Pm-3m, No. 221", "dos_ef_per_ev_fu": 5.848, "e_form_raw_ev_per_atom": -0.33, "crystal_system": "cubic"}

{"formula": "LaRhCl", "functional": "meta-GGA SCAN", "state": "PBEsol geometry", "lattice_angstrom": [[4.5221, 0.0000, 0.0000], [2.2611, 3.9163, 0.0000], [2.2611, 1.3054, 3.6923]], "species": ["Cl", "Rh", "La"], "frac_coords": [[0.7500, 0.7500, 0.7500], [0.5000, 0.5000, 0.5000], [0.0000, 0.0000, 0.0000]], "spacegroup": "F-43m, No. 216", "dos_ef_per_ev_fu": 2.388, "e_form_raw_ev_per_atom": -0.64, "crystal_system": "cubic"}

{"formula": "LaRhCl2", "functional": "meta-GGA SCAN", "state": "PBEsol geometry", "lattice_angstrom": [[4.4706, 0.0000, 0.0000], [0.0000, 4.4706, 0.0000], [-2.2353, -2.2353, 3.8627]], "species": ["Cl", "Cl", "Rh", "La"], "frac_coords": [[0.7500, 0.2500, 0.5000], [0.2500, 0.7500, 0.5000], [0.0000, 0.0000, 0.0000], [0.5000, 0.5000, 0.0000]], "spacegroup": "I4/mmm, No. 139", "dos_ef_per_ev_fu": 2.538, "e_form_raw_ev_per_atom": -1.07, "crystal_system": "tetragonal"}

{"formula": "LaRhCl2", "functional": "meta-GGA SCAN", "state": "PBEsol geometry", "lattice_angstrom": [[3.8718, 0.0416, 0.0000], [-0.0422, 3.8718, 0.0000], [0.0000, 0.0000, 5.8837]], "species": ["Cl", "Cl", "Rh", "La"], "frac_coords": [[0.0000, 0.0000, 0.0283], [0.5000, 0.5000, 0.6820], [0.5000, 0.5000, 0.2934], [0.0000, 0.0000, 0.4963]], "spacegroup": "P4mm, No. 99", "e_form_raw_ev_per_atom": -1.33, "crystal_system": "tetragonal"}

{"formula": "LaRhCl2", "functional": "meta-GGA SCAN", "state": "PBEsol geometry", "lattice_angstrom": [[-3.5464, 1.6153, 0.7100], [-1.4151, -1.5598, -3.5198], [-1.3295, -3.9169, 2.2703]], "species": ["Cl", "Cl", "Rh", "La"], "frac_coords": [[0.0000, 0.0000, 0.0000], [0.5000, 0.0000, 0.5000], [0.0000, 0.5000, 0.5000], [0.5000, 0.5000, 0.0000]], "spacegroup": "Pmmm, No. 47", "dos_ef_per_ev_fu": 1.533, "e_form_raw_ev_per_atom": -1.11, "crystal_system": "orthorhombic"}

{"formula": "LaRh2Cl", "functional": "meta-GGA SCAN", "state": "PBEsol geometry", "lattice_angstrom": [[4.0134, -0.0069, 0.0000], [-0.0137, 4.0017, 0.0000], [-1.9998, -1.9974, 4.6225]], "species": ["Cl", "Rh", "Rh", "La"], "frac_coords": [[0.5000, 0.0000, 0.0000], [0.0000, 0.0000, 0.5000], [0.5000, 0.5000, 0.5000], [0.0000, 0.5000, 0.0000]], "spacegroup": "C2/m, No. 12", "dos_ef_per_ev_fu": 2.475, "e_form_raw_ev_per_atom": -0.44, "crystal_system": "monoclinic"}